Density functional theory data (PBE) for crystalline Pr2NdPb3 at its relaxed geometry.

Symmetry: Cmmm (65)
Energy relative to the elements in eV per atom: -0.53
E above lowest polymorph in meV per atom: 0
VASP energy in eV per atom: -4.769

abc: 8.1691 8.1691 9.2809
angles: 90.00 90.00 143.70
Last column: nearest neighbours and their distance in Å.
Atoms (fractional coordinates):
Pr1 0.0000 0.0000 0.0000  8 Pb 3.45-3.49, 4 Pr 3.63
Pr2 0.0000 0.0000 0.5000  8 Pb 3.44-3.47, 4 Nd 3.63
Pr3 0.3334 0.6666 0.0000  8 Pb 3.45-3.48, 4 Pr 3.63
Pr4 0.6666 0.3334 0.0000  8 Pb 3.45-3.48, 4 Pr 3.63
Nd1 0.3331 0.6669 0.5000  8 Pb 3.44-3.47, 2 Nd 3.62, 2 Pr 3.63
Nd2 0.6669 0.3331 0.5000  8 Pb 3.44-3.47, 2 Nd 3.62, 2 Pr 3.63
Pb1 0.1670 0.8330 0.2512  3 Nd 3.44-3.46, 5 Pr 3.45-3.49, 4 Pb 3.62-3.63
Pb2 0.1670 0.8330 0.7488  3 Nd 3.44-3.46, 5 Pr 3.45-3.49, 4 Pb 3.62-3.63
Pb3 0.5000 0.5000 0.2510  6 Pr 3.44-3.48, 2 Nd 3.47, 4 Pb 3.63
Pb4 0.5000 0.5000 0.7490  6 Pr 3.44-3.48, 2 Nd 3.47, 4 Pb 3.63
Pb5 0.8330 0.1670 0.2512  3 Nd 3.44-3.46, 5 Pr 3.45-3.49, 4 Pb 3.62-3.63
Pb6 0.8330 0.1670 0.7488  3 Nd 3.44-3.46, 5 Pr 3.45-3.49, 4 Pb 3.62-3.63